1.
Rb3SnS3 | PBE-GGA | optimized geometry

Lattice parameters (Å, degrees): 7.107 7.107 7.107 110.99 110.99 110.99
Fractional coordinates of all 7 atoms:
Rb1 0.028 0.486 0.486
Rb2 0.486 0.028 0.486
Rb3 0.486 0.486 0.028
Sn1 0.939 0.939 0.939
S1 0.597 0.941 0.941
S2 0.941 0.597 0.941
S3 0.941 0.941 0.597

Properties
Energy relative to the elements, uncorrected: -0.86 eV per atom
Calculated total energy: -25.30 eV per formula unit

=====

2.
RbSn4S8 | PBE-GGA | optimized geometry

Lattice parameters (Å, degrees): 7.480 7.480 10.550 121.56 121.56 59.98
Fractional coordinates of all 13 atoms:
Rb1 0.000 0.000 0.000
Sn1 0.253 0.747 0.500
Sn2 0.254 0.254 0.506
Sn3 0.746 0.746 0.494
Sn4 0.747 0.253 0.500
S1 0.000 0.000 0.327
S2 0.000 0.000 0.673
S3 0.002 0.508 0.677
S4 0.492 0.998 0.323
S5 0.495 0.495 0.320
S6 0.505 0.505 0.680
S7 0.508 0.002 0.677
S8 0.998 0.492 0.323

Properties
Energy relative to the lowest polymorph listed for this composition: 0.00 kJ/mol of atoms
Energy relative to the elements, uncorrected: -0.53 eV per atom
Calculated total energy: -56.84 eV per formula unit

=====

3.
Rb2Sn2S5 | PBE-GGA | optimized geometry

Lattice parameters (Å, degrees): 7.303 7.303 8.283 99.73 99.73 42.52
Fractional coordinates of all 9 atoms:
Rb1 0.097 0.097 0.330
Rb2 0.903 0.903 0.670
Sn1 0.344 0.344 0.120
Sn2 0.656 0.656 0.880
S1 0.176 0.176 0.949
S2 0.363 0.363 0.403
S3 0.500 0.500 0.000
S4 0.637 0.637 0.597
S5 0.824 0.824 0.051

Properties
Energy relative to the elements, uncorrected: -0.61 eV per atom
Calculated total energy: -36.03 eV per formula unit

=====

4.
Rb4SnS4 | PBE-GGA | optimized geometry

Lattice parameters (Å, degrees): 9.310 9.310 7.398 90.00 90.00 90.00
Fractional coordinates of all 18 atoms:
Rb1 0.024 0.250 0.106
Rb2 0.250 0.024 0.606
Rb3 0.250 0.476 0.606
Rb4 0.476 0.250 0.106
Rb5 0.524 0.750 0.894
Rb6 0.750 0.524 0.394
Rb7 0.750 0.976 0.394
Rb8 0.976 0.750 0.894
Sn1 0.250 0.750 0.250
Sn2 0.750 0.250 0.750
S1 0.037 0.750 0.440
S2 0.250 0.537 0.060
S3 0.250 0.963 0.060
S4 0.463 0.750 0.440
S5 0.537 0.250 0.560
S6 0.750 0.037 0.940
S7 0.750 0.463 0.940
S8 0.963 0.250 0.560

Properties
Energy relative to the lowest polymorph listed for this composition: 1.00 kJ/mol of atoms
Energy relative to the elements, uncorrected: -1.03 eV per atom
Calculated total energy: -33.66 eV per formula unit